Computed, not measured: crystalline Dy2Zn2Pd at its relaxed geometry at the PBE level of DFT.

Output
ρ   8.84 Mg/m³
Crystal system   tetragonal
ΔE_f   -0.45 eV/atom

Cell lengths 7.026, 7.026, 8.554 Å; angles 90.00, 90.00, 90.00 degrees
Element x y z (fractional)
Dy (0.675, 0.825, 0.500)
Dy (0.325, 0.175, 0.500)
Dy (0.825, 0.325, 0.000)
Dy (0.175, 0.675, 0.000)
Dy (0.825, 0.325, 0.500)
Dy (0.175, 0.675, 0.500)
Dy (0.325, 0.175, 0.000)
Dy (0.675, 0.825, 0.000)
Zn (0.372, 0.872, 0.250)
Zn (0.628, 0.128, 0.250)
Zn (0.128, 0.372, 0.750)
Zn (0.872, 0.628, 0.750)
Zn (0.872, 0.628, 0.250)
Zn (0.128, 0.372, 0.250)
Zn (0.372, 0.872, 0.750)
Zn (0.628, 0.128, 0.750)
Pd (0.500, 0.500, 0.249)
Pd (0.000, 0.000, 0.749)
Pd (0.500, 0.500, 0.751)
Pd (0.000, 0.000, 0.251)